DFT (SCAN) results for TaC3 at its PBEsol-relaxed geometry.

As for the total magnetization: 0.00 μB per atom. Its calculated total energy is -23.129 eV/atom. The value obtained for the density of states at the Fermi level is 0.2270 states/eV per atom. The energy relative to the elements comes out at 1.09 eV/atom.

The space group is Pmmn (No. 59, origin choice 2) and the conventional cell measures 4.063, 4.426 and 3.973 Å, with angles of 90.00, 90.00 and 90.00 degrees. The distinct sites, in fractional coordinates, are Ta at (0.250, 0.250, 0.141), C at (0.250, 0.596, 0.532) and C at (0.250, 0.750, 0.162).

DFT (SCAN) results for TaC2 at its PBEsol-relaxed geometry.

As for the total magnetization: 0.00 μB per atom. Its calculated total energy is -27.421 eV/atom. The value obtained for the density of states at the Fermi level is 0.4756 states/eV per atom. The energy relative to the elements comes out at 1.51 eV/atom.

The space group is P6/mmm (No. 191) and the conventional cell measures 3.1983, 3.1983 and 3.0230 Å, with angles of 90.00, 90.00 and 120.00 degrees. The distinct sites, in fractional coordinates, are Ta at (0.0000, 0.0000, 0.0000) and C at (0.3333, 0.6667, 0.5000).

DFT (SCAN) results for Ta2C at its PBEsol-relaxed geometry.

As for the total magnetization: 0.00 μB per atom. Its calculated total energy is -48.112 eV/atom. The value obtained for the density of states at the Fermi level is 0.3617 states/eV per atom. The energy relative to the elements comes out at -0.36 eV/atom.

The space group is P4/mmm (No. 123) and the conventional cell measures 3.050, 3.050 and 4.445 Å, with angles of 90.00, 90.00 and 90.00 degrees. The distinct sites, in fractional coordinates, are Ta at (0.000, 0.000, 0.000), Ta at (0.500, 0.500, 0.500) and C at (0.000, 0.000, 0.500).

DFT (SCAN) results for Ta2C at its PBEsol-relaxed geometry.

As for the total magnetization: 0.00 μB per atom. Its calculated total energy is -48.343 eV/atom. The value obtained for the density of states at the Fermi level is 0.2421 states/eV per atom. The energy relative to the elements comes out at -0.59 eV/atom.

The space group is Pnnm (No. 58) and the conventional cell measures 4.884, 5.476 and 3.048 Å, with angles of 90.00, 90.00 and 90.00 degrees. The distinct sites, in fractional coordinates, are Ta at (0.241, 0.156, 0.000) and C at (0.000, 0.500, 0.000).

DFT (SCAN) results for Ta4C3 at its PBEsol-relaxed geometry.

As for the total magnetization: 0.00 μB per atom. Its calculated total energy is -42.945 eV/atom. The value obtained for the density of states at the Fermi level is 0.2092 states/eV per atom. The energy relative to the elements comes out at -0.57 eV/atom.

The space group is R3m (No. 160, hexagonal axes) and the conventional cell measures 3.1052, 3.1052 and 30.5136 Å, with angles of 90.00, 90.00 and 120.00 degrees. The distinct sites, in fractional coordinates, are Ta at (0.0000, 0.0000, 0.0000), Ta at (0.0000, 0.0000, 0.1637), Ta at (0.0000, 0.0000, 0.4147), Ta at (0.0000, 0.0000, 0.5848), C at (0.0000, 0.0000, 0.2930), C at (0.0000, 0.0000, 0.7863) and C at (0.0000, 0.0000, 0.8749).

DFT (SCAN) results for TaC3 at its PBEsol-relaxed geometry.

As for the total magnetization: 0.00 μB per atom. Its calculated total energy is -23.408 eV/atom. The value obtained for the density of states at the Fermi level is 0.2418 states/eV per atom. The energy relative to the elements comes out at 0.81 eV/atom.

The space group is Cmmm (No. 65) and the conventional cell measures 2.715, 10.332 and 3.189 Å, with angles of 90.00, 90.00 and 90.00 degrees. The distinct sites, in fractional coordinates, are Ta at (0.000, 0.000, 0.000), C at (0.000, 0.228, 0.000) and C at (0.000, 0.500, 0.500).

DFT (SCAN) results for TaTcWC2 at its PBEsol-relaxed geometry.

As for the total magnetization: 0.06 μB per atom. Its calculated total energy is -35.868 eV/atom. The value obtained for the density of states at the Fermi level is 0.8187 states/eV per atom. The energy relative to the elements comes out at 2.44 eV/atom.

The space group is P4/mmm (No. 123) and the conventional cell measures 3.982, 3.982 and 4.951 Å, with angles of 90.00, 90.00 and 90.00 degrees. The distinct sites, in fractional coordinates, are Ta at (0.000, 0.000, 0.000), Tc at (0.000, 0.000, 0.500), W at (0.500, 0.500, 0.500) and C at (0.000, 0.500, 0.000).

DFT (SCAN) results for Ta3TeC at its PBEsol-relaxed geometry.

For the uncorrected formation energy, the calculation gives 0.197 eV/atom. As for the total magnetization: 0.00 μB per atom. Its calculated total energy is -49.223 eV/atom. The value obtained for the density of states at the Fermi level is 0.6591 states/eV per atom.

The space group is Pm-3m (No. 221) and the conventional cell measures 4.311, 4.311 and 4.311 Å, with angles of 90.00, 90.00 and 90.00 degrees. The distinct sites, in fractional coordinates, are Ta at (0.000, 0.000, 0.500), Te at (0.500, 0.500, 0.500) and C at (0.000, 0.000, 0.000).

DFT (SCAN) results for Ta2TeC2 at its PBEsol-relaxed geometry.

For the uncorrected formation energy, the calculation gives 0.211 eV/atom. As for the total magnetization: 0.00 μB per atom. Its calculated total energy is -37.913 eV/atom. The value obtained for the density of states at the Fermi level is 0.3951 states/eV per atom.

The space group is I4/mmm (No. 139) and the conventional cell measures 4.168, 4.168 and 9.700 Å, with angles of 90.00, 90.00 and 90.00 degrees. The distinct sites, in fractional coordinates, are Ta at (0.000, 0.500, 0.250), Te at (0.000, 0.000, 0.000) and C at (0.000, 0.000, 0.300).

DFT (SCAN) results for Y2TaTeC at its PBEsol-relaxed geometry.

For the uncorrected formation energy, the calculation gives -0.467 eV/atom. As for the total magnetization: 0.00 μB per atom. Its calculated total energy is -34.391 eV/atom. The value obtained for the density of states at the Fermi level is 0.4313 states/eV per atom.

The space group is P4/mmm (No. 123) and the conventional cell measures 4.948, 4.948 and 4.169 Å, with angles of 90.00, 90.00 and 90.00 degrees. The distinct sites, in fractional coordinates, are Y at (0.000, 0.500, 0.000), Ta at (0.000, 0.000, 0.500), Te at (0.500, 0.500, 0.500) and C at (0.000, 0.000, 0.000).

DFT (SCAN) results for Ta2TiC at its PBEsol-relaxed geometry.

As for the total magnetization: 0.00 μB per atom. Its calculated total energy is -39.826 eV/atom. The value obtained for the density of states at the Fermi level is 0.6321 states/eV per atom. The energy relative to the elements comes out at 0.00 eV/atom.

The space group is I-42d (No. 122) and the conventional cell measures 7.498, 7.498 and 4.298 Å, with angles of 90.00, 90.00 and 90.00 degrees. The distinct sites, in fractional coordinates, are Ta at (0.128, 0.750, 0.125), Ti at (0.000, 0.000, 0.500) and C at (0.000, 0.000, 0.000).

DFT (SCAN) results for TaTl3C at its PBEsol-relaxed geometry.

As for the total magnetization: 0.40 μB per atom. Its calculated total energy is -56.929 eV/atom. The value obtained for the density of states at the Fermi level is 0.7643 states/eV per atom. The energy relative to the elements comes out at 1.82 eV/atom.

The space group is Pm-3m (No. 221) and the conventional cell measures 4.716, 4.716 and 4.716 Å, with angles of 90.00, 90.00 and 90.00 degrees. The distinct sites, in fractional coordinates, are Ta at (0.000, 0.000, 0.000), Tl at (0.000, 0.500, 0.500) and C at (0.500, 0.500, 0.500).

DFT (SCAN) results for UTaC2 at its PBEsol-relaxed geometry.

As for the total magnetization: 0.05 μB per atom. Its calculated total energy is -48.027 eV/atom. The value obtained for the density of states at the Fermi level is 0.7467 states/eV per atom. The energy relative to the elements comes out at -0.45 eV/atom.

The space group is R-3m (No. 166, hexagonal axes) and the conventional cell measures 3.2089, 3.2089 and 16.7661 Å, with angles of 90.00, 90.00 and 120.00 degrees. The distinct sites, in fractional coordinates, are U at (0.0000, 0.0000, 0.0000), Ta at (0.0000, 0.0000, 0.5000) and C at (0.0000, 0.0000, 0.2418).

DFT (SCAN) results for TaVC2 at its PBEsol-relaxed geometry.

As for the total magnetization: 0.00 μB per atom. Its calculated total energy is -26.588 eV/atom. The value obtained for the density of states at the Fermi level is 0.4015 states/eV per atom. The energy relative to the elements comes out at -0.52 eV/atom.

The space group is R-3m (No. 166, hexagonal axes) and the conventional cell measures 3.0509, 3.0509 and 14.7586 Å, with angles of 90.00, 90.00 and 120.00 degrees. The distinct sites, in fractional coordinates, are Ta at (0.0000, 0.0000, 0.0000), V at (0.0000, 0.0000, 0.5000) and C at (0.0000, 0.0000, 0.2455).

DFT (SCAN) results for Ta4WC5 at its PBEsol-relaxed geometry.

As for the total magnetization: 0.00 μB per atom. Its calculated total energy is -39.037 eV/atom. The value obtained for the density of states at the Fermi level is 0.3310 states/eV per atom. The energy relative to the elements comes out at -0.39 eV/atom.

The space group is R-3m (No. 166, hexagonal axes) and the conventional cell measures 3.1281, 3.1281 and 38.3005 Å, with angles of 90.00, 90.00 and 120.00 degrees. The distinct sites, in fractional coordinates, are Ta at (0.0000, 0.0000, 0.1007), Ta at (0.0000, 0.0000, 0.2997), W at (0.0000, 0.0000, 0.5000), C at (0.0000, 0.0000, 0.0000), C at (0.0000, 0.0000, 0.1989) and C at (0.0000, 0.0000, 0.4007).

DFT (SCAN) results for TaW2C at its PBEsol-relaxed geometry.

As for the total magnetization: 0.00 μB per atom. Its calculated total energy is -53.582 eV/atom. The value obtained for the density of states at the Fermi level is 0.5119 states/eV per atom. The energy relative to the elements comes out at 0.43 eV/atom.

The space group is Immm (No. 71) and the conventional cell measures 2.929, 4.720 and 8.024 Å, with angles of 90.00, 90.00 and 90.00 degrees. The distinct sites, in fractional coordinates, are Ta at (0.000, 0.000, 0.000), W at (0.000, 0.500, 0.189) and C at (0.000, 0.000, 0.500).

DFT (SCAN) results for Ta2WC at its PBEsol-relaxed geometry.

As for the total magnetization: 0.00 μB per atom. Its calculated total energy is -51.905 eV/atom. The value obtained for the density of states at the Fermi level is 0.8501 states/eV per atom. The energy relative to the elements comes out at 1.33 eV/atom.

The space group is F-43m (No. 216) and the conventional cell measures 6.131, 6.131 and 6.131 Å, with angles of 90.00, 90.00 and 90.00 degrees. The distinct sites, in fractional coordinates, are Ta at (0.000, 0.000, 0.000), Ta at (0.250, 0.250, 0.250), W at (0.000, 0.000, 0.500) and C at (0.250, 0.250, 0.750).

DFT (SCAN) results for Ta2WC at its PBEsol-relaxed geometry.

As for the total magnetization: 0.00 μB per atom. Its calculated total energy is -52.282 eV/atom. The value obtained for the density of states at the Fermi level is 0.4715 states/eV per atom. The energy relative to the elements comes out at 0.96 eV/atom.

The space group is P2/m (No. 10) and the conventional cell measures 4.165, 3.227 and 4.329 Å, with angles of 90.00, 100.77 and 90.00 degrees. The distinct sites, in fractional coordinates, are Ta at (0.000, 0.000, 0.000), Ta at (0.000, 0.500, 0.500), W at (0.500, 0.000, 0.500) and C at (0.500, 0.500, 0.000).

DFT (SCAN) results for TaZnC3 at its PBEsol-relaxed geometry.

As for the total magnetization: 0.00 μB per atom. Its calculated total energy is -20.120 eV/atom. The value obtained for the density of states at the Fermi level is 0.5101 states/eV per atom. The energy relative to the elements comes out at 1.96 eV/atom.

The space group is Pm-3m (No. 221) and the conventional cell measures 4.154, 4.154 and 4.154 Å, with angles of 90.00, 90.00 and 90.00 degrees. The distinct sites, in fractional coordinates, are Ta at (0.000, 0.000, 0.000), Zn at (0.500, 0.500, 0.500) and C at (0.000, 0.000, 0.500).

DFT (SCAN) results for ZrTaC at its PBEsol-relaxed geometry.

As for the total magnetization: 0.19 μB per atom. Its calculated total energy is -36.385 eV/atom. The value obtained for the density of states at the Fermi level is 0.6515 states/eV per atom. The energy relative to the elements comes out at -0.59 eV/atom.

The space group is P3m1 (No. 156) and the conventional cell measures 3.1726, 3.1726 and 5.1448 Å, with angles of 90.00, 90.00 and 120.00 degrees. The distinct sites, in fractional coordinates, are Zr at (0.0000, 0.0000, 0.0000), Ta at (0.6667, 0.3333, 0.5041) and C at (0.3333, 0.6667, 0.7342).